The following is a DFT calculation (PBE) of an optimized crystal structure of Cs2NbRhBr6.

Fermi-level density of states (states/eV/cell): 15.24
Space group: Fm-3m
E_form (uncorrected) (meV per atom): -902
Electronic total energy (eV/atom): -3.818

a = 7.6902 Å, b = 7.6902 Å, c = 7.6881 Å
α = 59.99°, β = 59.99°, γ = 90.00°
Last column: nearest neighbours and their distance in Å.
Fractional coordinates of all 10 atoms:
Cs  0.7500  0.2500  0.5000  12 Br 3.84-3.85
Cs  0.2500  0.7500  0.5000  12 Br 3.84-3.85
Nb  0.5000  0.5000  0.0000  6 Br 2.68
Rh  0.0000  0.0000  0.0000  6 Br 2.75
Br  0.2530  0.2530  0.4939  1 Nb 2.68, 1 Rh 2.75
Br  0.7470  0.7470  0.5061  1 Nb 2.68, 1 Rh 2.75
Br  0.2532  0.2532  0.0000  1 Nb 2.68, 1 Rh 2.75
Br  0.7468  0.7468  0.0000  1 Nb 2.68, 1 Rh 2.75
Br  0.7468  0.2532  0.0000  1 Nb 2.68, 1 Rh 2.75
Br  0.2532  0.7468  0.0000  1 Nb 2.68, 1 Rh 2.75